Compound: As2PdSeF
Source: the Alexandria database
Functional: PBE
Structure: optimized geometry

Unit cell a=4.295 b=4.295 c=5.128 alpha=90.00 beta=90.00 gamma=90.00
Space group P4/mmm (No. 123)
Inequivalent atoms, fractional coordinates:
As 0.000 0.500 0.000 [2 per cell]
Pd 0.000 0.000 0.500 [1 per cell]
Se 0.500 0.500 0.500 [1 per cell]
F 0.500 0.500 0.000 [1 per cell]

Summary:
As for the uncorrected formation energy: 364 meV per atom. The calculation puts the energy at -3.61 eV/atom. As for the crystal system: tetragonal. As for the offset from the most stable computed form: 0 meV per atom. The value obtained for the density of states at the Fermi level is 3.096 states/eV/cell.


Compound: Y2Tl2SbS6
Source: the Alexandria database
Functional: PBE
Structure: optimized geometry

Unit cell a=6.903 b=11.889 c=7.910 alpha=90.00 beta=107.79 gamma=90.00
Space group C2/m (No. 12)
Inequivalent atoms, fractional coordinates:
Y 0.000 0.167 0.000 [4 per cell]
Tl 0.000 0.327 0.500 [4 per cell]
Sb 0.000 0.500 0.000 [2 per cell]
S 0.230 0.339 0.196 [8 per cell]
S 0.248 0.000 0.195 [4 per cell]

Summary:
As for the uncorrected formation energy: -1100 meV per atom. The calculation puts the energy at -5.33 eV/atom. As for the crystal system: monoclinic. The value obtained for the density of states at the Fermi level is 9.104 states/eV/cell.